Version one
{
  "formula": "Sm2I2BrN",
  "functional": "PBE-GGA",
  "state": "relaxed",
  "spacegroup": "C2/m",
  "magnetic_moment_mub_per_fu": 0.002,
  "cell": [[9.7608, -2.0205, 0.0000], [9.7608, 2.0205, 0.0000], [-7.2258, 0.0000, 9.8497]],
  "species": ["I", "I", "I", "I", "Sm", "Sm", "Sm", "Sm", "N", "N", "Br", "Br"],
  "fractional_positions": [[0.7749, 0.7749, 0.3702], [0.2251, 0.2251, 0.6298], [0.9643, 0.9643, 0.7670], [0.0357, 0.0357, 0.2330], [0.8642, 0.8642, 0.2156], [0.5719, 0.5719, 0.4612], [0.1358, 0.1358, 0.7844], [0.4281, 0.4281, 0.5388], [0.4260, 0.4260, 0.3471], [0.5740, 0.5740, 0.6529], [0.3271, 0.3271, 0.9954], [0.6729, 0.6729, 0.0046]]
}


Version two
{
  "formula": "Sm2I2BrN",
  "functional": "PBE-GGA",
  "state": "relaxed",
  "spacegroup": "C2/m",
  "magnetic_moment_mub_per_fu": 0.003,
  "cell": [[9.6601, -2.0244, 0.0000], [9.6601, 2.0244, 0.0000], [-7.1045, 0.0000, 10.1724]],
  "species": ["Sm", "Sm", "Sm", "Sm", "Br", "Br", "N", "N", "I", "I", "I", "I"],
  "fractional_positions": [[0.4286, 0.4286, 0.5410], [0.8675, 0.8675, 0.2264], [0.5714, 0.5714, 0.4590], [0.1325, 0.1325, 0.7736], [0.0346, 0.0346, 0.2592], [0.9654, 0.9654, 0.7408], [0.4266, 0.4266, 0.3525], [0.5734, 0.5734, 0.6475], [0.3373, 0.3373, 0.9934], [0.6627, 0.6627, 0.0066], [0.7765, 0.7765, 0.3793], [0.2235, 0.2235, 0.6207]]
}


Stability, highest: version two


Version one
{
  "formula": "TmIBr",
  "functional": "PBE-GGA",
  "state": "relaxed",
  "spacegroup": "R-3m",
  "magnetic_moment_mub_per_fu": 0.008,
  "cell": [[1.8126, 10.2139, 10.5981], [5.2167, 10.8024, 8.7192], [1.9581, 12.6394, 7.5061]],
  "species": ["Tm", "Tm", "Br", "Br", "I", "I"],
  "fractional_positions": [[0.0000, 0.0000, 0.0000], [0.5000, 0.5000, 0.5000], [0.2941, 0.2941, 0.2941], [0.7059, 0.7059, 0.7059], [0.1210, 0.1210, 0.1210], [0.8790, 0.8790, 0.8790]]
}


Version two
{
  "formula": "TmIBr",
  "functional": "PBE-GGA",
  "state": "relaxed",
  "spacegroup": "P-62m",
  "magnetic_moment_mub_per_fu": 0.002,
  "cell": [[9.4077, 0.0000, 0.0000], [-4.7039, 8.1473, 0.0000], [0.0000, 0.0000, 3.5837]],
  "species": ["Br", "Br", "Br", "Tm", "Tm", "Tm", "I", "I", "I"],
  "fractional_positions": [[0.3333, 0.6667, 0.0000], [0.6667, 0.3333, 0.0000], [0.0000, 0.0000, 0.5000], [0.0000, 0.6975, 0.5000], [0.6975, 0.0000, 0.5000], [0.3025, 0.3025, 0.5000], [0.3054, 0.0000, 0.0000], [0.0000, 0.3054, 0.0000], [0.6946, 0.6946, 0.0000]]
}


Stability, highest: version one


Version one
{
  "formula": "IrBr3",
  "functional": "PBE-GGA",
  "state": "relaxed",
  "spacegroup": "R-3c",
  "magnetic_moment_mub_per_fu": 0.003,
  "cell": [[-2.4207, -4.3721, 4.5515], [3.1551, -5.5447, 2.2345], [2.3977, -0.9463, 6.2488]],
  "species": ["Br", "Br", "Br", "Br", "Br", "Br", "Ir", "Ir"],
  "fractional_positions": [[0.0748, 0.4252, 0.7500], [0.9252, 0.5748, 0.2500], [0.7500, 0.0748, 0.4252], [0.4252, 0.7500, 0.0748], [0.2500, 0.9252, 0.5748], [0.5748, 0.2500, 0.9252], [0.5000, 0.5000, 0.5000], [0.0000, 0.0000, 0.0000]]
}


Version two
{
  "formula": "IrBr3",
  "functional": "PBE-GGA",
  "state": "relaxed",
  "spacegroup": "P6_3/mcm",
  "magnetic_moment_mub_per_fu": 0.002,
  "cell": [[-3.9078, -1.6529, -4.7537], [4.4866, -4.0612, 1.9944], [-4.1761, -2.5006, 4.3025]],
  "species": ["Br", "Br", "Br", "Br", "Br", "Br", "Ir", "Ir"],
  "fractional_positions": [[0.0000, 0.6998, 0.7500], [0.3002, 0.0000, 0.2500], [0.3002, 0.3002, 0.7500], [0.6998, 0.6998, 0.2500], [0.0000, 0.3002, 0.2500], [0.6998, 0.0000, 0.7500], [0.0000, 0.0000, 0.0000], [0.0000, 0.0000, 0.5000]]
}


Stability, highest: version two